VASP calculation (PBE) on DyLuCuPt after structural relaxation.

```
4
Lattice="-0.883 -1.322 4.604 -3.176 -3.570 0.942 1.588 -4.300 1.647" Properties=species:S:1:pos:R:3 pbc="T T T"
Lu 0.000 0.000 0.000
Pt -1.854 -6.894 5.395
Cu -0.618 -2.298 1.798
Dy -1.236 -4.596 3.596
```

Values from the calculation:
symmetry: F-43m
ΔH_f (0 K): -0.807 eV per atom
Fermi-level density of states: 2.6 states/eV/f.u.
total moment: 0.00 Bohr magnetons per cell